Entry 1:
VASP calculation (PBE) on a geometry-optimized CaGdLuSc structure.

Results
ΔH_f (0 K)   0.196 eV/atom

a = 7.9142 Å, b = 7.9142 Å, c = 7.9142 Å
α = 90.00°, β = 90.00°, γ = 90.00°
With the nearest neighbours (Å) after each atom.
Space group F-43m (No. 216)
Asymmetric unit:
Ca1 0.0000 0.0000 0.0000 [4 per cell]  4 Sc 3.43, 4 Gd 3.43
Gd1 0.2500 0.2500 0.7500 [4 per cell]  4 Ca 3.43, 4 Lu 3.43
Lu1 0.0000 0.0000 0.5000 [4 per cell]  4 Gd 3.43, 4 Sc 3.43
Sc1 0.2500 0.2500 0.2500 [4 per cell]  4 Lu 3.43, 4 Ca 3.43


Entry 2:
VASP calculation (PBE) on a geometry-optimized TaRu2 structure.

Results
ΔH_f (0 K)   -0.050 eV/atom

a = 7.2178 Å, b = 7.2178 Å, c = 7.2178 Å
α = 90.00°, β = 90.00°, γ = 90.00°
With the nearest neighbours (Å) after each atom.
Space group Fd-3m (No. 227, origin choice 2)
Asymmetric unit:
Ta1 0.1250 0.1250 0.1250 [8 per cell]  12 Ru 2.99, 4 Ta 3.13
Ru1 0.0000 0.0000 0.5000 [16 per cell]  6 Ru 2.55


Entry 3:
VASP calculation (PBE) on a geometry-optimized TeRhW2 structure.

Results
Formation energy without anion corrections   0.60 eV per atom

a = 3.0332 Å, b = 4.1815 Å, c = 5.4289 Å
α = 90.00°, β = 90.00°, γ = 90.00°
With the nearest neighbours (Å) after each atom.
Space group Pmmm (No. 47)
Asymmetric unit:
Te1 0.0000 0.0000 0.0000 [1 per cell]  2 Rh 2.71, 8 W 2.97, 2 Te 3.03
Rh1 0.0000 0.0000 0.5000 [1 per cell]  2 Te 2.71, 8 W 2.87, 2 Rh 3.03
W1 0.5000 0.5000 0.2682 [2 per cell]  1 W 2.52


Entry 4:
VASP calculation (PBE) on a geometry-optimized GdZrCuIr structure.

Results
ΔH_f (0 K)   -0.449 eV/atom

a = 6.7755 Å, b = 6.7755 Å, c = 6.7755 Å
α = 90.00°, β = 90.00°, γ = 90.00°
With the nearest neighbours (Å) after each atom.
Space group F-43m (No. 216)
Asymmetric unit:
Gd1 0.0000 0.0000 0.0000 [4 per cell]  4 Ir 2.93, 4 Cu 2.93
Zr1 0.0000 0.0000 0.5000 [4 per cell]  4 Cu 2.93, 4 Ir 2.93
Cu1 0.2500 0.2500 0.7500 [4 per cell]  4 Zr 2.93, 4 Gd 2.93
Ir1 0.2500 0.2500 0.2500 [4 per cell]  4 Zr 2.93, 4 Gd 2.93


Entry 5:
VASP calculation (PBE) on a geometry-optimized Al2V2Rh structure.

Results
ΔH_f (0 K)   0.316 eV/atom
Energy above the most stable polymorph in this dataset   487 meV/atom

a = 3.6504 Å, b = 3.6504 Å, c = 11.8286 Å
α = 90.00°, β = 90.00°, γ = 90.00°
With the nearest neighbours (Å) after each atom.
Space group I4/mmm (No. 139)
Asymmetric unit:
Al1 0.0000 0.5000 0.2500 [4 per cell]  4 Al 2.58, 4 V 2.70
V1 0.0000 0.0000 0.0817 [4 per cell]  1 V 1.93
Rh1 0.0000 0.0000 0.5000 [2 per cell]  8 V 2.76


Entry 6:
VASP calculation (PBE) on a geometry-optimized Ho3Ni8Hg structure.

Results
ΔH_f (0 K)   -0.414 eV/atom

a = 5.0096 Å, b = 5.0096 Å, c = 24.6717 Å
α = 90.00°, β = 90.00°, γ = 120.00°
With the nearest neighbours (Å) after each atom.
Space group R3m (No. 160, hexagonal axes)
Asymmetric unit:
Ho1 0.0000 0.0000 0.0000 [3 per cell]  12 Ni 2.86-3.03, 3 Hg 3.01, 1 Ho 3.17
Ho2 0.0000 0.0000 0.1286 [3 per cell]  12 Ni 2.91-2.96, 4 Ho 3.14-3.17
Ho3 0.0000 0.0000 0.5118 [3 per cell]  12 Ni 2.85-3.07, 1 Hg 2.99, 3 Ho 3.14
Ni1 0.0000 0.0000 0.3180 [3 per cell]  6 Ni 2.53
Ni2 0.0000 0.0000 0.8177 [3 per cell]  6 Ni 2.49-2.51
Ni3 0.0003 0.5002 0.0688 [9 per cell]  6 Ni 2.49-2.53
Ni4 0.1686 0.3373 0.9003 [9 per cell]  6 Ni 2.48-2.53
Hg1 0.0000 0.0000 0.6331 [3 per cell]  12 Ni 2.91-2.99, 4 Ho 2.99-3.01


Entry 7:
VASP calculation (PBE) on a geometry-optimized Pm2Pr3Zn2 structure.

Results
ΔH_f (0 K)   -0.113 eV/atom
Energy above the most stable polymorph in this dataset   9 meV/atom

a = 3.7259 Å, b = 31.0013 Å, c = 3.6648 Å
α = 90.00°, β = 90.00°, γ = 90.00°
With the nearest neighbours (Å) after each atom.
Space group Cmmm (No. 65)
Asymmetric unit:
Pm1 0.0000 0.2014 0.0000 [4 per cell]  4 Zn 3.13
Pr1 0.0000 0.0866 0.0000 [4 per cell]  4 Zn 3.20, 1 Pm 3.56
Pr2 0.0000 0.5000 0.5000 [2 per cell]  12 Pr 3.66-3.75
Zn1 0.0000 0.3540 0.5000 [4 per cell]  4 Pm 3.13, 4 Pr 3.20


Entry 8:
VASP calculation (PBE) on a geometry-optimized Hf2MgMn structure.

Results
ΔH_f (0 K)   -0.025 eV/atom

a = 3.1769 Å, b = 3.1769 Å, c = 7.5330 Å
α = 90.00°, β = 90.00°, γ = 90.00°
With the nearest neighbours (Å) after each atom.
Space group P4/mmm (No. 123)
Asymmetric unit:
Hf1 0.0000 0.0000 0.2022 [2 per cell]  4 Mn 2.71
Mg1 0.5000 0.5000 0.5000 [1 per cell]  8 Hf 3.17, 4 Mg 3.18
Mn1 0.5000 0.5000 0.0000 [1 per cell]  8 Hf 2.71


no.,total moment (μB per formula unit)
1,7.19
2,0.00
3,0.00
4,7.23
5,0.00
6,0.00
7,0.62
8,0.00